1.
A plane-wave DFT calculation with GGA-PBE was carried out for Ba2CaNiPb after structural relaxation.

Computed properties:
volume = 189.9 Å³/f.u.
space-group type = P4/mmm, No. 123
ΔE_f = -154 meV per atom

a = 5.875 Å, b = 5.875 Å, c = 5.502 Å
α = 90.00°, β = 90.00°, γ = 90.00°
Atoms (fractional coordinates):
Ca: 0.000 0.000 0.500
Ba: 0.500 0.000 0.000
Ba: 0.000 0.500 0.000
Ni: 0.000 0.000 0.000
Pb: 0.500 0.500 0.500

=====

2.
A plane-wave DFT calculation with GGA-PBE was carried out for RbBa2CaNi after structural relaxation.

Computed properties:
volume = 236.7 Å³/f.u.
space-group type = P4/mmm, No. 123
ΔE_f = 69 meV per atom

a = 6.322 Å, b = 6.322 Å, c = 5.923 Å
α = 90.00°, β = 90.00°, γ = 90.00°
Atoms (fractional coordinates):
Ba: 0.000 0.500 0.000
Ba: 0.500 0.000 0.000
Rb: 0.500 0.500 0.500
Ni: 0.000 0.000 0.000
Ca: 0.000 0.000 0.500

=====

3.
A plane-wave DFT calculation with GGA-PBE was carried out for Ba2CaNiS after structural relaxation.

Computed properties:
raw formation energy = -0.378 eV/atom
volume = 194.3 Å³/f.u.
space-group type = P4/mmm, No. 123

a = 6.096 Å, b = 5.227 Å, c = 6.096 Å
α = 90.00°, β = 90.00°, γ = 90.00°
Atoms (fractional coordinates):
S: 0.000 0.000 0.000
Ba: 0.500 0.000 0.000
Ba: 0.000 0.000 0.500
Ca: 0.000 0.500 0.000
Ni: 0.500 0.500 0.500

=====

4.
A plane-wave DFT calculation with GGA-PBE was carried out for BaCaNiS2 after structural relaxation.

Computed properties:
raw formation energy = 0.150 eV/atom
volume = 180.4 Å³/f.u.
space-group type = P4/mmm, No. 123

a = 5.109 Å, b = 6.912 Å, c = 5.109 Å
α = 90.00°, β = 90.00°, γ = 90.00°
Last column: magnetic moment on the atom in μB.
Atoms (fractional coordinates):
Ca: 0.000 0.000 0.000  -0.01
S: 0.000 0.000 0.500  0.29
S: 0.500 0.000 0.000  0.28
Ba: 0.000 0.500 0.000  -0.03
Ni: 0.500 0.500 0.500  0.96

=====

5.
A plane-wave DFT calculation with GGA-PBE was carried out for BaCa2ScNi after structural relaxation.

Computed properties:
volume = 166.7 Å³/f.u.
space-group type = P4/mmm, No. 123
ΔE_f = 0 meV per atom

a = 5.745 Å, b = 5.745 Å, c = 5.050 Å
α = 90.00°, β = 90.00°, γ = 90.00°
Atoms (fractional coordinates):
Ca: 0.000 0.500 0.000
Ca: 0.500 0.000 0.000
Ni: 0.000 0.000 0.000
Ba: 0.500 0.500 0.500
Sc: 0.000 0.000 0.500

=====

6.
A plane-wave DFT calculation with GGA-PBE was carried out for BaCaNiSe2 after structural relaxation.

Computed properties:
raw formation energy = 0.141 eV/atom
volume = 197.3 Å³/f.u.
space-group type = P4/mmm, No. 123

a = 5.302 Å, b = 7.018 Å, c = 5.302 Å
α = 90.00°, β = 90.00°, γ = 90.00°
Last column: magnetic moment on the atom in μB.
Atoms (fractional coordinates):
Se: 0.000 0.000 0.500  -0.17
Se: 0.500 0.000 0.000  -0.16
Ca: 0.000 0.000 0.000  0.00
Ni: 0.500 0.500 0.500  -1.00
Ba: 0.000 0.500 0.000  0.02

=====

7.
A plane-wave DFT calculation with GGA-PBE was carried out for BaCa2SiNi after structural relaxation.

Computed properties:
raw formation energy = -0.125 eV/atom
volume = 139.5 Å³/f.u.
space-group type = P4/mmm, No. 123

a = 5.479 Å, b = 5.479 Å, c = 4.648 Å
α = 90.00°, β = 90.00°, γ = 90.00°
Atoms (fractional coordinates):
Ca: 0.500 0.000 0.000
Ca: 0.000 0.500 0.000
Ni: 0.000 0.000 0.000
Ba: 0.500 0.500 0.500
Si: 0.000 0.000 0.500

=====

8.
A plane-wave DFT calculation with GGA-PBE was carried out for BaCa2NiSn after structural relaxation.

Computed properties:
volume = 155.6 Å³/f.u.
space-group type = P4/mmm, No. 123
ΔE_f = -270 meV per atom

a = 5.522 Å, b = 5.522 Å, c = 5.104 Å
α = 90.00°, β = 90.00°, γ = 90.00°
Atoms (fractional coordinates):
Ca: 0.000 0.500 0.000
Ca: 0.500 0.000 0.000
Ba: 0.500 0.500 0.500
Ni: 0.000 0.000 0.000
Sn: 0.000 0.000 0.500